Density functional theory data (PBE) for an optimized crystal structure of Th3Zn5Te12.

Summary:
DOS(E_F): 12.021 states/eV/f.u.
symmetry: Ia-3d (230)
ΔE_f (raw): -12.5 eV/f.u.
theoretical density: 6.65 g cm⁻³

a = 14.9067 Å, b = 14.9067 Å, c = 14.9067 Å
α = 109.47°, β = 109.47°, γ = 109.47°
Closest atoms and distances in Å follow each position.
Fractional positions:
Th 0.1250 0.2500 0.3750  8 Te 3.28-3.29
Th 0.1250 0.3750 0.7500  8 Te 3.28-3.29
Th 0.2500 0.3750 0.1250  8 Te 3.28-3.29
Th 0.2500 0.8750 0.6250  8 Te 3.28-3.29
Th 0.3750 0.1250 0.2500  8 Te 3.28-3.29
Th 0.3750 0.7500 0.1250  8 Te 3.28-3.29
Th 0.6250 0.2500 0.8750  8 Te 3.28-3.29
Th 0.6250 0.8750 0.7500  8 Te 3.28-3.29
Th 0.7500 0.1250 0.3750  8 Te 3.28-3.29
Th 0.7500 0.6250 0.8750  8 Te 3.28-3.29
Th 0.8750 0.6250 0.2500  8 Te 3.28-3.29
Th 0.8750 0.7500 0.6250  8 Te 3.28-3.29
Zn 0.0000 0.0000 0.0000  6 Te 2.85
Zn 0.0000 0.0000 0.5000  6 Te 2.85
Zn 0.0000 0.5000 0.0000  6 Te 2.85
Zn 0.0000 0.5000 0.5000  6 Te 2.85
Zn 0.1250 0.7500 0.8750  4 Te 2.65
Zn 0.1250 0.8750 0.2500  4 Te 2.65
Zn 0.2500 0.1250 0.8750  4 Te 2.65
Zn 0.2500 0.6250 0.3750  4 Te 2.65
Zn 0.3750 0.2500 0.6250  4 Te 2.65
Zn 0.3750 0.6250 0.7500  4 Te 2.65
Zn 0.5000 0.0000 0.0000  6 Te 2.85
Zn 0.5000 0.0000 0.5000  6 Te 2.85
Zn 0.5000 0.5000 0.0000  6 Te 2.85
Zn 0.5000 0.5000 0.5000  6 Te 2.85
Zn 0.6250 0.3750 0.2500  4 Te 2.65
Zn 0.6250 0.7500 0.3750  4 Te 2.65
Zn 0.7500 0.3750 0.6250  4 Te 2.65
Zn 0.7500 0.8750 0.1250  4 Te 2.65
Zn 0.8750 0.1250 0.7500  4 Te 2.65
Zn 0.8750 0.2500 0.1250  4 Te 2.65
Te 0.0372 0.2138 0.1252  2 Zn 2.65-2.85
Te 0.0372 0.3233 0.9120  2 Zn 2.65-2.85
Te 0.0880 0.6252 0.4113  2 Zn 2.65-2.85
Te 0.0880 0.9628 0.6767  2 Zn 2.65-2.85
Te 0.0887 0.7138 0.6767  2 Zn 2.65-2.85
Te 0.0887 0.8748 0.4120  2 Zn 2.65-2.85
Te 0.1252 0.0372 0.2138  2 Zn 2.65-2.85
Te 0.1252 0.5880 0.9113  2 Zn 2.65-2.85
Te 0.1767 0.2138 0.5887  2 Zn 2.65-2.85
Te 0.1767 0.4628 0.5880  2 Zn 2.65-2.85
Te 0.2138 0.1252 0.0372  2 Zn 2.65-2.85
Te 0.2138 0.5887 0.1767  2 Zn 2.65-2.85
Te 0.2862 0.3233 0.9113  2 Zn 2.65-2.85
Te 0.2862 0.4628 0.3748  2 Zn 2.65-2.85
Te 0.3233 0.9113 0.2862  2 Zn 2.65-2.85
Te 0.3233 0.9120 0.0372  2 Zn 2.65-2.85
Te 0.3748 0.2862 0.4628  2 Zn 2.65-2.85
Te 0.3748 0.5887 0.9120  2 Zn 2.65-2.85
Te 0.4113 0.0880 0.6252  2 Zn 2.65-2.85
Te 0.4113 0.8233 0.7862  2 Zn 2.65-2.85
Te 0.4120 0.0887 0.8748  2 Zn 2.65-2.85
Te 0.4120 0.8233 0.5372  2 Zn 2.65-2.85
Te 0.4628 0.3748 0.2862  2 Zn 2.65-2.85
Te 0.4628 0.5880 0.1767  2 Zn 2.65-2.85
Te 0.5372 0.4120 0.8233  2 Zn 2.65-2.85
Te 0.5372 0.6252 0.7138  2 Zn 2.65-2.85
Te 0.5880 0.1767 0.4628  2 Zn 2.65-2.85
Te 0.5880 0.9113 0.1252  2 Zn 2.65-2.85
Te 0.5887 0.1767 0.2138  2 Zn 2.65-2.85
Te 0.5887 0.9120 0.3748  2 Zn 2.65-2.85
Te 0.6252 0.4113 0.0880  2 Zn 2.65-2.85
Te 0.6252 0.7138 0.5372  2 Zn 2.65-2.85
Te 0.6767 0.0880 0.9628  2 Zn 2.65-2.85
Te 0.6767 0.0887 0.7138  2 Zn 2.65-2.85
Te 0.7138 0.5372 0.6252  2 Zn 2.65-2.85
Te 0.7138 0.6767 0.0887  2 Zn 2.65-2.85
Te 0.7862 0.4113 0.8233  2 Zn 2.65-2.85
Te 0.7862 0.8748 0.9628  2 Zn 2.65-2.85
Te 0.8233 0.5372 0.4120  2 Zn 2.65-2.85
Te 0.8233 0.7862 0.4113  2 Zn 2.65-2.85
Te 0.8748 0.4120 0.0887  2 Zn 2.65-2.85
Te 0.8748 0.9628 0.7862  2 Zn 2.65-2.85
Te 0.9113 0.1252 0.5880  2 Zn 2.65-2.85
Te 0.9113 0.2862 0.3233  2 Zn 2.65-2.85
Te 0.9120 0.0372 0.3233  2 Zn 2.65-2.85
Te 0.9120 0.3748 0.5887  2 Zn 2.65-2.85
Te 0.9628 0.6767 0.0880  2 Zn 2.65-2.85
Te 0.9628 0.7862 0.8748  2 Zn 2.65-2.85